Zr5CoTe2 | PBE | relaxed

a = 7.3442 Å, b = 11.9282 Å, c = 3.9678 Å
α = 90.00°, β = 90.00°, γ = 90.00°
Last column: nearest neighbours and their distance in Å.
Atoms (fractional coordinates):
1 Zr 0.0000 0.0000 0.0000  4 Te 2.93, 4 Zr 3.21
2 Zr 0.1409 0.3092 0.0000  1 Co 2.50
3 Zr 0.1816 0.5787 0.5000  2 Co 2.57
4 Zr 0.3184 0.0787 0.5000  2 Co 2.57
5 Zr 0.3591 0.8092 0.0000  1 Co 2.50
6 Zr 0.5000 0.5000 0.0000  4 Te 2.93, 4 Zr 3.21
7 Zr 0.6409 0.1908 0.0000  1 Co 2.50
8 Zr 0.6816 0.9213 0.5000  2 Co 2.57
9 Zr 0.8184 0.4213 0.5000  2 Co 2.57
10 Zr 0.8591 0.6908 0.0000  1 Co 2.50
11 Co 0.0000 0.5000 0.0000  6 Zr 2.50-2.57
12 Co 0.5000 0.0000 0.0000  6 Zr 2.50-2.57
13 Te 0.0665 0.8242 0.5000  8 Zr 2.93-3.05
14 Te 0.4335 0.3242 0.5000  8 Zr 2.93-3.05
15 Te 0.5665 0.6758 0.5000  8 Zr 2.93-3.05
16 Te 0.9335 0.1758 0.5000  8 Zr 2.93-3.05



Zr2CoTe | PBE | relaxed

a = 6.0421 Å, b = 6.0421 Å, c = 6.0421 Å
α = 104.10°, β = 104.10°, γ = 120.85°
Last column: nearest neighbours and their distance in Å.
Atoms (fractional coordinates):
1 Zr 0.0762 0.6250 0.9512  2 Co 2.50
2 Zr 0.3750 0.3262 0.4512  2 Co 2.50
3 Zr 0.6738 0.1250 0.0488  2 Co 2.50
4 Zr 0.8750 0.9238 0.5488  2 Co 2.50
5 Co 0.0000 0.0000 0.0000  4 Zr 2.50
6 Co 0.7500 0.2500 0.5000  4 Zr 2.50
7 Te 0.2500 0.7500 0.5000  2 Co 2.98, 8 Zr 2.99-3.27
8 Te 0.5000 0.5000 0.0000  2 Co 2.98, 8 Zr 2.99-3.27



ZrCoTe2 | PBE | relaxed

a = 7.9656 Å, b = 7.9656 Å, c = 7.9656 Å
α = 153.83°, β = 152.20°, γ = 38.55°
Last column: nearest neighbours and their distance in Å.
Atoms (fractional coordinates):
1 Zr 0.0000 0.0000 0.0000  2 Co 2.72, 6 Te 2.97-3.00
2 Co 0.1354 0.6354 0.5000  4 Te 2.64, 2 Zr 2.72
3 Te 0.4039 0.4039 0.0000  4 Zr 3.00
4 Te 0.6512 0.1512 0.5000  4 Co 2.64



ZrCoTe2 | PBE | relaxed

a = 3.6989 Å, b = 3.7452 Å, c = 7.7911 Å
α = 90.00°, β = 103.55°, γ = 90.00°
Last column: nearest neighbours and their distance in Å.
Atoms (fractional coordinates):
1 Zr 0.0000 0.0000 0.0000  4 Co 2.73-2.79, 1 Te 3.06
2 Co 0.5654 0.5000 0.1093  3 Te 2.47-2.49, 2 Zr 2.73
3 Te 0.3907 0.5000 0.7802  1 Co 2.49
4 Te 0.6582 0.0000 0.3215  2 Co 2.47



ZrCoTe6 | PBE | relaxed

a = 6.6398 Å, b = 6.6398 Å, c = 6.6398 Å
α = 63.85°, β = 63.85°, γ = 63.85°
Last column: nearest neighbours and their distance in Å.
Atoms (fractional coordinates):
1 Zr 0.0000 0.0000 0.0000  6 Te 2.91
2 Co 0.5000 0.5000 0.5000  6 Te 2.57
3 Te 0.0857 0.4509 0.7021  1 Co 2.57
4 Te 0.2979 0.9143 0.5491  1 Co 2.57
5 Te 0.4509 0.7021 0.0857  1 Co 2.57
6 Te 0.5491 0.2979 0.9143  1 Co 2.57
7 Te 0.7021 0.0857 0.4509  1 Co 2.57
8 Te 0.9143 0.5491 0.2979  1 Co 2.57



Zr2Co2Te | PBE | relaxed

a = 7.6454 Å, b = 7.6454 Å, c = 3.1942 Å
α = 90.00°, β = 90.00°, γ = 90.00°
Last column: nearest neighbours and their distance in Å.
Atoms (fractional coordinates):
1 Zr 0.1530 0.3470 0.0000  6 Co 2.67-2.87, 2 Te 2.90
2 Zr 0.3470 0.8470 0.0000  6 Co 2.67-2.87, 2 Te 2.90
3 Zr 0.6530 0.1530 0.0000  6 Co 2.67-2.87, 2 Te 2.90
4 Zr 0.8470 0.6530 0.0000  6 Co 2.67-2.87, 2 Te 2.90
5 Co 0.1262 0.6262 0.5000  6 Zr 2.67-2.87, 1 Co 2.73
6 Co 0.3738 0.1262 0.5000  6 Zr 2.67-2.87, 1 Co 2.73
7 Co 0.6262 0.8738 0.5000  6 Zr 2.67-2.87, 1 Co 2.73
8 Co 0.8738 0.3738 0.5000  6 Zr 2.67-2.87, 1 Co 2.73
9 Te 0.0000 0.0000 0.0000  4 Zr 2.90, 2 Te 3.19
10 Te 0.5000 0.5000 0.0000  4 Zr 2.90, 2 Te 3.19

## Properties
ΔE to the lowest computed polymorph, eV/f.u.: 1.529



Raw formation energy: -0.4742, -0.1815, -0.3848, -0.4763, -0.1800, -0.0598 (eV/atom)
DFT total energy: -7.49, -7.02, -5.87, -5.96, -4.49, -6.95 (eV per atom)